Compound: Mg2Pd3Pb2
Source: OQMD
Functional: PBE-GGA
Structure: relaxed

POSCAR file:
```
Mg2Pd3Pb2
1.0
2.3225 1.3409 7.4899
-2.3225 1.3409 7.4899
0.0000 -2.6818 7.4899
Mg Pd Pb
2 3 2
Cartesian
0.0000 0.0000 0.0000
0.0000 0.0000 11.0727
0.0000 0.0000 8.2726
0.0000 0.0000 13.9481
0.0000 0.0000 19.6484
0.0000 0.0000 5.4113
0.0000 0.0000 16.8452
```

Results
symmetry = R3m (160)


Compound: BaLuHg
Source: OQMD
Functional: PBE-GGA
Structure: relaxed

POSCAR file:
```
BaLuHg
1.0
0.0000 3.8395 3.8395
3.8395 0.0000 3.8395
3.8395 3.8395 0.0000
Ba Lu Hg
1 1 1
Cartesian
0.0000 0.0000 0.0000
3.8395 3.8395 3.8395
1.9197 1.9197 1.9197
```

Results
symmetry = F-43m (216)
excess energy over the best structure of this formula in the dataset = 0 meV/atom
total magnetization = 0.1 Bohr magnetons per cell


Compound: Pr2Ho2BBr5
Source: OQMD
Functional: PBE-GGA
Structure: relaxed

POSCAR file:
```
Pr2Ho2BBr5
1.0
9.1090 -1.9982 0.0000
9.1090 1.9982 0.0000
-1.8750 0.0000 8.4304
Pr Ho B Br
2 2 1 5
Cartesian
-0.5112 0.0000 2.4216
16.8543 0.0000 6.0087
5.7438 0.0000 3.6076
10.5993 0.0000 4.8227
8.1715 0.0000 4.2152
1.5626 0.0000 6.8828
2.5459 0.0000 2.9731
9.1090 0.0000 0.0000
13.7972 0.0000 5.4572
14.7805 0.0000 1.5476
```

Results
symmetry = C2/m (12)
total magnetization = 0.0 Bohr magnetons per cell


Compound: NaGdCdTe3
Source: OQMD
Functional: PBE-GGA
Structure: relaxed

POSCAR file:
```
NaGdCdTe3
1.0
13.2197 0.0000 0.0000
0.0000 4.4625 0.0000
0.0000 0.0000 13.3053
Na Gd Cd Te
4 4 4 12
Cartesian
1.8022 1.1156 0.0260
4.8076 3.3469 6.6787
8.4121 1.1156 6.6267
11.4174 3.3469 13.2793
0.6026 1.1156 4.3629
6.0073 3.3469 11.0156
7.2124 1.1156 2.2898
12.6171 3.3469 8.9424
3.1665 1.1156 9.4918
3.4433 3.3469 2.8391
9.7764 1.1156 10.4662
10.0531 3.3469 3.8136
0.6977 3.3469 2.0930
1.1089 1.1156 7.6047
2.9361 3.3469 11.2825
3.6737 1.1156 4.6298
5.5009 3.3469 0.9520
5.9121 1.1156 8.7457
7.3075 3.3469 4.5597
7.7187 1.1156 12.3533
9.5459 3.3469 8.6755
10.2836 1.1156 2.0229
12.1108 3.3469 5.7006
12.5220 1.1156 11.2123
```

Results
symmetry = Pnma (62)
excess energy over the best structure of this formula in the dataset = 34 meV/atom
total magnetization = 0.0 Bohr magnetons per cell


Compound: RbReHg3S4
Source: OQMD
Functional: PBE-GGA
Structure: relaxed

POSCAR file:
```
RbReHg3S4
1.0
7.5762 0.0000 0.0000
0.0000 7.5762 0.0000
0.0000 0.0000 7.5762
Rb Re Hg S
1 1 3 4
Cartesian
0.0000 0.0000 0.0000
3.7881 3.7881 3.7881
0.0000 3.7881 3.7881
3.7881 0.0000 3.7881
3.7881 3.7881 0.0000
2.5337 2.5337 2.5337
2.5337 5.0425 5.0425
5.0425 2.5337 5.0425
5.0425 5.0425 2.5337
```

Results
symmetry = P-43m (215)
total magnetization = 0.0 Bohr magnetons per cell


Compound: BeCoSnW
Source: OQMD
Functional: PBE-GGA
Structure: relaxed

POSCAR file:
```
BeCoSnW
1.0
0.0000 3.0314 3.0314
3.0314 0.0000 3.0314
3.0314 3.0314 0.0000
Be Co Sn W
1 1 1 1
Cartesian
0.0000 0.0000 0.0000
3.0314 3.0314 3.0314
1.5157 1.5157 1.5157
4.5471 4.5471 4.5471
```

Results
symmetry = F-43m (216)
excess energy over the best structure of this formula in the dataset = 0 meV/atom
total magnetization = 2.4 Bohr magnetons per cell


Compound: HoGeTe3Au
Source: OQMD
Functional: PBE-GGA
Structure: relaxed

POSCAR file:
```
HoGeTe3Au
1.0
2.0729 -7.5363 0.0000
2.0729 7.5363 0.0000
0.0000 0.0000 11.2842
Ho Ge Te Au
2 2 6 2
Cartesian
0.0000 0.0000 0.0000
0.0000 0.0000 5.6421
2.0729 4.9323 8.4631
2.0729 -4.9323 2.8210
2.0729 6.1860 2.8210
2.0729 2.2253 0.5842
2.0729 2.2253 5.0579
2.0729 -2.2253 6.2263
2.0729 -2.2253 10.6999
2.0729 -6.1860 8.4631
2.0729 0.5237 2.8210
2.0729 -0.5237 8.4631
```

Results
symmetry = Cmcm (63)
excess energy over the best structure of this formula in the dataset = 40 meV/atom
total magnetization = 0.0 Bohr magnetons per cell


Compound: MgNpB
Source: OQMD
Functional: PBE-GGA
Structure: relaxed

POSCAR file:
```
MgNpB
1.0
0.0000 3.0203 3.0203
3.0203 0.0000 3.0203
3.0203 3.0203 0.0000
Mg Np B
1 1 1
Cartesian
0.0000 0.0000 0.0000
3.0203 3.0203 3.0203
1.5102 1.5102 1.5102
```

Results
symmetry = F-43m (216)
excess energy over the best structure of this formula in the dataset = 0 meV/atom
total magnetization = 4.0 Bohr magnetons per cell


Compound: LaNbNO
Source: OQMD
Functional: PBE-GGA
Structure: relaxed

POSCAR file:
```
LaNbNO
1.0
4.1231 0.0000 0.0000
0.0000 5.4064 0.0000
0.0000 0.0000 5.5910
La Nb N O
2 2 2 2
Cartesian
0.0000 1.2026 0.0000
0.0000 4.2038 2.7955
2.0616 1.4318 2.7946
2.0616 3.9746 5.5902
2.0616 0.0003 1.3913
2.0616 5.4061 4.1868
0.0000 1.6099 2.7912
0.0000 3.7965 5.5867
```

Results
symmetry = Pmc2_1 (26)
excess energy over the best structure of this formula in the dataset = 0 meV/atom
total magnetization = 0.0 Bohr magnetons per cell


Compound: SiNiOsPd
Source: OQMD
Functional: PBE-GGA
Structure: relaxed

POSCAR file:
```
SiNiOsPd
1.0
0.0000 2.9956 2.9956
2.9956 0.0000 2.9956
2.9956 2.9956 0.0000
Si Ni Os Pd
1 1 1 1
Cartesian
0.0000 0.0000 0.0000
1.4978 1.4978 1.4978
2.9956 2.9956 2.9956
4.4934 4.4934 4.4934
```

Results
symmetry = F-43m (216)
total magnetization = 0.1 Bohr magnetons per cell


Compound: TbFeSi2Ir
Source: OQMD
Functional: PBE-GGA
Structure: relaxed

POSCAR file:
```
TbFeSi2Ir
1.0
-2.0173 2.0173 4.8762
2.0173 -2.0173 4.8762
2.0173 2.0173 -4.8762
Tb Fe Si Ir
1 1 2 1
Cartesian
0.0000 0.0000 0.0000
0.0000 2.0173 2.4381
0.0000 0.0000 3.6384
0.0000 0.0000 6.1140
2.0173 0.0000 2.4381
```

Results
symmetry = I-4m2 (119)
total magnetization = 0.0 Bohr magnetons per cell


Compound: SrBeCoAs
Source: OQMD
Functional: PBE-GGA
Structure: relaxed

POSCAR file:
```
SrBeCoAs
1.0
0.0000 3.3386 3.3386
3.3386 0.0000 3.3386
3.3386 3.3386 0.0000
Sr Be Co As
1 1 1 1
Cartesian
0.0000 0.0000 0.0000
3.3386 3.3386 3.3386
1.6693 1.6693 1.6693
5.0078 5.0078 5.0078
```

Results
symmetry = F-43m (216)
excess energy over the best structure of this formula in the dataset = 178 meV/atom
total magnetization = 1.4 Bohr magnetons per cell


Compound: LaY2Al2Ni4
Source: OQMD
Functional: PBE-GGA
Structure: relaxed

POSCAR file:
```
LaY2Al2Ni4
1.0
5.0044 -2.0768 0.0000
5.0044 2.0768 0.0000
-1.1538 0.0000 8.0855
La Y Al Ni
1 2 2 4
Cartesian
0.0000 0.0000 0.0000
3.0240 0.0000 4.9763
5.8311 0.0000 3.1092
2.9552 0.0000 1.7898
5.8999 0.0000 6.2958
0.1186 0.0000 5.0999
1.5716 0.0000 7.3795
7.2834 0.0000 0.7060
8.7364 0.0000 2.9857
```

Results
symmetry = C2/m (12)
total magnetization = 0.0 Bohr magnetons per cell


In order of appearance, total energy = -4.17, -2.22, -4.77, -3.65, -3.67, -6.50, -4.20, -6.56, -8.76, -6.56, -7.43, -3.78, -5.84 eV/atom.
In order of appearance, calculated density = 9282, 7523, 5530, 5716, 3825, 11043, 7699, 8200, 6977, 11842, 9689, 5143, 5982 kg/m³.